1.
## Ag3P2 (GGA-PBE)

Data for crystalline Ag3P2 at its relaxed geometry.

The calculation puts the total moment at 0.0 μB/f.u. The calculation puts the raw total energy at -17.67 eV for the cell shown. The crystal system is trigonal.

The space group is P-3m1 (No. 164) and the conventional cell measures 4.3704, 4.3704 and 5.5784 Å, with angles of 90.00, 90.00 and 120.00 degrees. The distinct sites, in fractional coordinates, are Ag at (0.0000, 0.0000, 0.0000), Ag at (0.3333, 0.6667, 0.3331) and P at (0.3333, 0.6667, 0.7909).

---

2.
## Nd3SmY6 (GGA-PBE)

Data for crystalline Nd3SmY6 at its relaxed geometry.

The calculation puts the total moment at 0.0 μB/f.u. The calculation puts the raw total energy at -165.62 eV for the cell shown. The crystal system is trigonal.

The space group is R3 (No. 146, hexagonal axes) and the conventional cell measures 10.0006, 10.0006 and 11.7096 Å, with angles of 90.00, 90.00 and 120.00 degrees. The distinct sites, in fractional coordinates, are Nd at (0.0000, 0.0000, 0.0000), Nd at (0.0000, 0.0000, 0.2501), Nd at (0.0000, 0.0000, 0.5007), Sm at (0.0000, 0.0000, 0.7502), Y at (0.0010, 0.6738, 0.5016) and Y at (0.0071, 0.3395, 0.6682).

---

3.
## La2ZrAl (GGA-PBE)

Data for crystalline La2ZrAl at its relaxed geometry.

The calculation puts the total moment at 0.0 μB/f.u. The calculation puts the raw total energy at -43.76 eV for the cell shown. The crystal system is monoclinic.

The space group is C2/m (No. 12) and the conventional cell measures 11.411, 3.374 and 5.640 Å, with angles of 90.00, 98.70 and 90.00 degrees. The distinct sites, in fractional coordinates, are La at (0.232, 0.000, 0.229), Zr at (0.000, 0.000, 0.500) and Al at (0.000, 0.500, 0.000).

---

4.
## Tl2Bi2Pd (GGA-PBE)

Data for crystalline Tl2Bi2Pd at its relaxed geometry.

The calculation puts the total moment at 0.0 μB/f.u. The calculation puts the raw total energy at -31.93 eV for the cell shown. The crystal system is tetragonal.

The space group is I4/mmm (No. 139) and the conventional cell measures 4.275, 4.275 and 17.809 Å, with angles of 90.00, 90.00 and 90.00 degrees. The distinct sites, in fractional coordinates, are Tl at (0.000, 0.000, 0.086), Bi at (0.000, 0.500, 0.250) and Pd at (0.000, 0.000, 0.500).

---

> What is the total moment in the second record?

0.0 μB/f.u.